# LiGaBr4

Crystalline LiGaBr4 at its relaxed geometry (PBE, the Alexandria database).

Geometry as CIF:
```
data_LiGaBr4
_cell_length_a 7.357
_cell_length_b 7.357
_cell_length_c 9.513
_cell_angle_alpha 90.00
_cell_angle_beta 90.00
_cell_angle_gamma 90.00
_symmetry_space_group_name_H-M 'P 1'
_symmetry_Int_Tables_number 1
_symmetry_space_group_name_Hall 'P 1'
loop_
_atom_site_label
_atom_site_type_symbol
_atom_site_fract_x
_atom_site_fract_y
_atom_site_fract_z
Li1 Li 0.000 0.000 0.000
Li2 Li 0.000 0.000 0.500
Ga1 Ga 0.000 0.500 0.000
Ga2 Ga 0.500 0.000 0.500
Br1 Br 0.234 0.265 0.000
Br2 Br 0.234 0.735 0.000
Br3 Br 0.265 0.234 0.500
Br4 Br 0.265 0.766 0.500
Br5 Br 0.735 0.234 0.500
Br6 Br 0.735 0.766 0.500
Br7 Br 0.766 0.265 0.000
Br8 Br 0.766 0.735 0.000
```

Summary:
Size of the total moment: 0.0 μB/cell
Crystal system: tetragonal
DOS(E_F): 0.00 states/eV/f.u.
Relative energy among the computed polymorphs: 223 meV per atom
ρ: 2.6 Mg/m³
Volume: 42.9 Å³ per atom

# Ni6SbTe2

Crystalline Ni6SbTe2 at its relaxed geometry (PBE, the Alexandria database).

Geometry as CIF:
```
data_Ni6SbTe2
_cell_length_a 9.940
_cell_length_b 9.940
_cell_length_c 9.940
_cell_angle_alpha 157.84
_cell_angle_beta 157.84
_cell_angle_gamma 31.54
_symmetry_space_group_name_H-M 'P 1'
_symmetry_Int_Tables_number 1
_symmetry_space_group_name_Hall 'P 1'
loop_
_atom_site_label
_atom_site_type_symbol
_atom_site_fract_x
_atom_site_fract_y
_atom_site_fract_z
Ni1 Ni 0.000 0.000 0.000
Ni2 Ni 0.216 0.716 0.500
Ni3 Ni 0.309 0.309 0.000
Ni4 Ni 0.403 0.903 0.500
Ni5 Ni 0.716 0.216 0.500
Ni6 Ni 0.903 0.403 0.500
Sb1 Sb 0.810 0.810 0.000
Te1 Te 0.131 0.131 0.000
Te2 Te 0.494 0.494 0.000
```

Summary:
Size of the total moment: 0.0 μB/cell
Crystal system: tetragonal
DOS(E_F): 6.70 states/eV/f.u.
VASP energy: -5.174 eV/atom
ρ: 8.7 Mg/m³
Volume: 15.5 Å³ per atom

# Zr3BeAs

Crystalline Zr3BeAs at its relaxed geometry (PBE, the Alexandria database).

Geometry as CIF:
```
data_Zr3BeAs
_cell_length_a 4.660
_cell_length_b 4.660
_cell_length_c 4.660
_cell_angle_alpha 90.00
_cell_angle_beta 90.00
_cell_angle_gamma 90.00
_symmetry_space_group_name_H-M 'P 1'
_symmetry_Int_Tables_number 1
_symmetry_space_group_name_Hall 'P 1'
loop_
_atom_site_label
_atom_site_type_symbol
_atom_site_fract_x
_atom_site_fract_y
_atom_site_fract_z
Zr1 Zr 0.000 0.000 0.500
Zr2 Zr 0.000 0.500 0.000
Zr3 Zr 0.500 0.000 0.000
Be1 Be 0.000 0.000 0.000
As1 As 0.500 0.500 0.500
```

Summary:
Size of the total moment: 0.0 μB/cell
Crystal system: cubic
DOS(E_F): 4.24 states/eV/f.u.
Relative energy among the computed polymorphs: 0 meV per atom
ρ: 5.9 Mg/m³
Volume: 20.2 Å³ per atom

- What is the ρ in the third record?
  5.9 Mg/m³

- Number 1 is which compound?
  LiGaBr4

- What is the formula in the second record?
  Ni6SbTe2